Entry 1:
A geometry-optimized La6HoZn5 structure, computed with GGA-PBE.

Structure (POSCAR):
```
La6HoZn5
1.0
5.315 0.000 0.000
0.000 7.650 0.000
-2.661 0.000 8.150
La Ho Zn
6 1 5
Direct
0.000 0.222 0.000
0.000 0.778 0.000
0.327 0.246 0.650
0.327 0.754 0.650
0.673 0.246 0.350
0.673 0.754 0.350
0.500 0.500 0.000
0.147 0.500 0.298
0.165 0.000 0.335
0.500 0.000 0.000
0.835 0.000 0.665
0.853 0.500 0.702
```

Results
energy relative to the elements	-216	meV per atom
size of the total moment	0.0	μB per formula unit
raw total energy	-3.59	eV/atom
crystal system	monoclinic

Entry 2:
A geometry-optimized TaTi5Re4 structure, computed with GGA-PBE.

Structure (POSCAR):
```
TaTi5Re4
1.0
3.119 0.000 0.000
0.000 3.119 0.000
0.000 0.000 16.090
Ta Ti Re
1 5 4
Direct
0.000 0.000 0.000
0.500 0.500 0.117
0.500 0.500 0.307
0.500 0.500 0.500
0.500 0.500 0.693
0.500 0.500 0.883
0.000 0.000 0.208
0.000 0.000 0.403
0.000 0.000 0.597
0.000 0.000 0.792
```

Results
energy relative to the elements	-304	meV per atom
size of the total moment	0.0	μB per formula unit
raw total energy	-10.42	eV/atom
crystal system	tetragonal

Entry 3:
A geometry-optimized CsRbZn3 structure, computed with GGA-PBE.

Structure (POSCAR):
```
CsRbZn3
1.0
6.549 0.000 0.000
0.000 6.549 0.000
0.000 0.000 6.549
Cs Rb Zn
1 1 3
Direct
0.000 0.000 0.000
0.500 0.500 0.500
0.000 0.500 0.500
0.500 0.000 0.500
0.500 0.500 0.000
```

Results
energy relative to the elements	500	meV per atom
size of the total moment	0.0	μB per formula unit
raw total energy	-0.63	eV/atom
crystal system	cubic

Entry 4:
A geometry-optimized Pa2Fe2Ge3 structure, computed with GGA-PBE.

Structure (POSCAR):
```
Pa2Fe2Ge3
1.0
2.101 -8.922 0.000
2.101 8.922 0.000
0.000 0.000 6.626
Pa Fe Ge
4 4 6
Direct
0.048 0.952 0.750
0.166 0.834 0.250
0.834 0.166 0.750
0.952 0.048 0.250
0.301 0.699 0.053
0.301 0.699 0.447
0.699 0.301 0.553
0.699 0.301 0.947
0.214 0.786 0.750
0.431 0.569 0.555
0.431 0.569 0.945
0.569 0.431 0.055
0.569 0.431 0.445
0.786 0.214 0.250
```

Results
energy relative to the elements	-416	meV per atom
size of the total moment	1.2	μB per formula unit
raw total energy	-7.53	eV/atom
crystal system	orthorhombic

Entry 5:
A geometry-optimized Ce2NbIr structure, computed with GGA-PBE.

Structure (POSCAR):
```
Ce2NbIr
1.0
1.478 0.853 10.805
-1.478 0.853 10.805
0.000 -1.707 10.805
Ce Nb Ir
2 1 1
Direct
0.090 0.090 0.090
0.910 0.910 0.910
0.000 0.000 0.000
0.500 0.500 0.500
```

Results
energy relative to the elements	190	meV per atom
size of the total moment	0.0	μB per formula unit
raw total energy	-7.51	eV/atom
crystal system	trigonal

Entry 6:
A geometry-optimized AlIrW3 structure, computed with GGA-PBE.

Structure (POSCAR):
```
AlIrW3
1.0
4.748 0.000 0.000
0.000 4.748 0.000
0.000 0.000 4.748
Al Ir W
1 1 3
Direct
0.000 0.000 0.000
0.500 0.500 0.500
0.000 0.500 0.500
0.500 0.000 0.500
0.500 0.500 0.000
```

Results
energy relative to the elements	1866	meV per atom
size of the total moment	0.0	μB per formula unit
raw total energy	-8.43	eV/atom
crystal system	cubic

Entry 7:
A geometry-optimized YBeAu2 structure, computed with GGA-PBE.

Structure (POSCAR):
```
YBeAu2
1.0
3.504 0.000 0.000
0.000 3.646 0.000
-1.723 0.000 6.044
Y Be Au
1 1 2
Direct
0.000 0.000 0.000
0.000 0.000 0.500
0.342 0.500 0.708
0.658 0.500 0.292
```

Results
energy relative to the elements	-402	meV per atom
size of the total moment	0.0	μB per formula unit
raw total energy	-4.59	eV/atom
crystal system	monoclinic

Entry 8:
A geometry-optimized BaZr4Cr structure, computed with GGA-PBE.

Structure (POSCAR):
```
BaZr4Cr
1.0
0.000 4.282 4.282
4.282 0.000 4.282
4.282 4.282 0.000
Ba Zr Cr
1 4 1
Direct
0.000 0.000 0.000
0.377 0.377 0.377
0.377 0.377 0.870
0.377 0.870 0.377
0.870 0.377 0.377
0.750 0.750 0.750
```

Results
energy relative to the elements	736	meV per atom
size of the total moment	3.5	μB per formula unit
raw total energy	-6.89	eV/atom
crystal system	cubic

- What is the raw total energy in the eighth record?
  -6.89 eV/atom

- The lowest raw total energy belongs to which entry?
  TaTi5Re4